First-principles (PBE) data for an optimized crystal structure of OsAuS2N, as listed in the Alexandria database.

Unit cell a=4.833 b=4.833 c=3.670 alpha=90.00 beta=90.00 gamma=90.00
Fractional coordinates of all 5 atoms:
Os 0.000 0.000 0.000
Au 0.500 0.500 0.500
S 0.000 0.500 0.000
S 0.500 0.000 0.000
N 0.000 0.000 0.500

Calculated values
Energy above the most stable polymorph in this dataset (meV/atom): 0
Uncorrected energy (eV per atom): -5.563
Raw formation energy (kJ/mol of atoms): 63.2
Magnetization (μB/cell): 0.00

=====

First-principles (PBE) data for an optimized crystal structure of CsBiPb, as listed in the Alexandria database.

Unit cell a=7.682 b=7.682 c=7.682 alpha=148.34 beta=148.34 gamma=45.38
Fractional coordinates of all 3 atoms:
Cs 0.000 0.000 0.000
Bi 0.700 0.700 0.000
Pb 0.297 0.297 0.000

Calculated values
Uncorrected energy (eV per atom): -3.015
Magnetization (μB/cell): 0.00
Formation enthalpy at 0 K (eV/f.u.): -0.6

=====

First-principles (PBE) data for an optimized crystal structure of SmPuSbTe, as listed in the Alexandria database.

Unit cell a=7.702 b=7.702 c=7.702 alpha=33.65 beta=33.65 gamma=33.65
Fractional coordinates of all 4 atoms:
Sm 0.000 0.000 0.000
Pu 0.496 0.496 0.496
Sb 0.748 0.748 0.748
Te 0.247 0.247 0.247

Calculated values
Energy above the most stable polymorph in this dataset (meV/atom): 0
Uncorrected energy (eV per atom): -7.691
Raw formation energy (kJ/mol of atoms): -107.3
Magnetization (μB/cell): 5.67

=====

First-principles (PBE) data for an optimized crystal structure of AcH3Pd2, as listed in the Alexandria database.

Unit cell a=5.731 b=5.731 c=5.385 alpha=90.00 beta=90.00 gamma=98.77
Fractional coordinates of all 12 atoms:
Ac 0.200 0.800 0.750
Ac 0.800 0.200 0.250
H 0.089 0.263 0.750
H 0.263 0.089 0.250
H 0.450 0.550 0.250
H 0.550 0.450 0.750
H 0.737 0.911 0.750
H 0.911 0.737 0.250
Pd 0.310 0.310 0.000
Pd 0.310 0.310 0.500
Pd 0.690 0.690 0.000
Pd 0.690 0.690 0.500

Calculated values
Uncorrected energy (eV per atom): -4.575
Magnetization (μB/cell): 0.00

=====

First-principles (PBE) data for an optimized crystal structure of NiPbBr2, as listed in the Alexandria database.

Unit cell a=6.379 b=6.379 c=5.410 alpha=91.83 beta=91.83 gamma=34.78
Fractional coordinates of all 4 atoms:
Ni 0.000 0.000 0.000
Pb 0.638 0.638 0.831
Br 0.121 0.121 0.339
Br 0.387 0.387 0.857

Calculated values
Energy above the most stable polymorph in this dataset (meV/atom): 36
Uncorrected energy (eV per atom): -3.503
Raw formation energy (kJ/mol of atoms): -28.4
Magnetization (μB/cell): 0.13

=====

First-principles (PBE) data for an optimized crystal structure of Sn3Bi5Pb12, as listed in the Alexandria database.

Unit cell a=16.080 b=16.080 c=16.080 alpha=109.47 beta=109.47 gamma=109.47
Fractional coordinates of all 80 atoms:
Sn 0.125 0.250 0.375
Sn 0.125 0.375 0.750
Sn 0.250 0.375 0.125
Sn 0.250 0.875 0.625
Sn 0.375 0.125 0.250
Sn 0.375 0.750 0.125
Sn 0.625 0.250 0.875
Sn 0.625 0.875 0.750
Sn 0.750 0.125 0.375
Sn 0.750 0.625 0.875
Sn 0.875 0.625 0.250
Sn 0.875 0.750 0.625
Bi 0.000 0.000 0.000
Bi 0.000 0.000 0.500
Bi 0.000 0.500 0.000
Bi 0.000 0.500 0.500
Bi 0.125 0.750 0.875
Bi 0.125 0.875 0.250
Bi 0.250 0.125 0.875
Bi 0.250 0.625 0.375
Bi 0.375 0.250 0.625
Bi 0.375 0.625 0.750
Bi 0.500 0.000 0.000
Bi 0.500 0.000 0.500
Bi 0.500 0.500 0.000
Bi 0.500 0.500 0.500
Bi 0.625 0.375 0.250
Bi 0.625 0.750 0.375
Bi 0.750 0.375 0.625
Bi 0.750 0.875 0.125
Bi 0.875 0.125 0.750
Bi 0.875 0.250 0.125
Pb 0.066 0.228 0.150
Pb 0.066 0.338 0.916
Pb 0.078 0.728 0.662
Pb 0.078 0.850 0.416
Pb 0.084 0.650 0.422
Pb 0.084 0.934 0.662
Pb 0.150 0.066 0.228
Pb 0.150 0.584 0.922
Pb 0.162 0.228 0.578
Pb 0.162 0.434 0.584
Pb 0.228 0.150 0.066
Pb 0.228 0.578 0.162
Pb 0.272 0.338 0.922
Pb 0.272 0.434 0.350
Pb 0.338 0.916 0.066
Pb 0.338 0.922 0.272
Pb 0.350 0.272 0.434
Pb 0.350 0.578 0.916
Pb 0.416 0.078 0.850
Pb 0.416 0.838 0.566
Pb 0.422 0.084 0.650
Pb 0.422 0.838 0.772
Pb 0.434 0.350 0.272
Pb 0.434 0.584 0.162
Pb 0.566 0.416 0.838
Pb 0.566 0.650 0.728
Pb 0.578 0.162 0.228
Pb 0.578 0.916 0.350
Pb 0.584 0.162 0.434
Pb 0.584 0.922 0.150
Pb 0.650 0.422 0.084
Pb 0.650 0.728 0.566
Pb 0.662 0.078 0.728
Pb 0.662 0.084 0.934
Pb 0.728 0.566 0.650
Pb 0.728 0.662 0.078
Pb 0.772 0.422 0.838
Pb 0.772 0.850 0.934
Pb 0.838 0.566 0.416
Pb 0.838 0.772 0.422
Pb 0.850 0.416 0.078
Pb 0.850 0.934 0.772
Pb 0.916 0.066 0.338
Pb 0.916 0.350 0.578
Pb 0.922 0.150 0.584
Pb 0.922 0.272 0.338
Pb 0.934 0.662 0.084
Pb 0.934 0.772 0.850

Calculated values
Uncorrected energy (eV per atom): -3.620
Magnetization (μB/cell): 0.00
Formation enthalpy at 0 K (eV/f.u.): 3.5

=====

First-principles (PBE) data for an optimized crystal structure of K3Y2ZrO6, as listed in the Alexandria database.

Unit cell a=5.935 b=5.935 c=6.559 alpha=98.68 beta=98.68 gamma=120.00
Fractional coordinates of all 12 atoms:
K 0.000 0.000 0.000
K 0.334 0.666 0.000
K 0.666 0.334 0.000
Y 0.167 0.833 0.500
Y 0.833 0.167 0.500
Zr 0.500 0.500 0.500
O 0.120 0.438 0.314
O 0.244 0.244 0.686
O 0.438 0.120 0.314
O 0.562 0.880 0.686
O 0.756 0.756 0.314
O 0.880 0.562 0.686

Calculated values
Uncorrected energy (eV per atom): -7.137
Raw formation energy (kJ/mol of atoms): -250.3
Magnetization (μB/cell): 0.00

=====

First-principles (PBE) data for an optimized crystal structure of Tm8P3Pb3N, as listed in the Alexandria database.

Unit cell a=7.618 b=7.618 c=8.848 alpha=115.47 beta=115.47 gamma=60.06
Fractional coordinates of all 15 atoms:
Tm 0.212 0.212 0.682
Tm 0.212 0.759 0.682
Tm 0.241 0.788 0.318
Tm 0.268 0.268 0.303
Tm 0.732 0.732 0.697
Tm 0.759 0.212 0.682
Tm 0.788 0.241 0.318
Tm 0.788 0.788 0.318
P 0.000 0.500 0.500
P 0.500 0.000 0.500
P 0.500 0.500 0.500
Pb 0.000 0.000 0.000
Pb 0.000 0.500 0.000
Pb 0.500 0.000 0.000
N 0.000 0.000 0.500

Calculated values
Uncorrected energy (eV per atom): -5.748
Raw formation energy (kJ/mol of atoms): -95.0
Magnetization (μB/cell): 0.00

=====

First-principles (PBE) data for an optimized crystal structure of LiYMo2, as listed in the Alexandria database.

Unit cell a=10.576 b=10.576 c=10.576 alpha=15.51 beta=15.51 gamma=15.51
Fractional coordinates of all 4 atoms:
Li 0.000 0.000 0.000
Y 0.500 0.500 0.500
Mo 0.255 0.255 0.255
Mo 0.745 0.745 0.745

Calculated values
Energy above the most stable polymorph in this dataset (meV/atom): 504
Uncorrected energy (eV per atom): -6.745
Magnetization (μB/cell): 0.13
Formation enthalpy at 0 K (eV/f.u.): 3.1

=====

First-principles (PBE) data for an optimized crystal structure of Ac2Ga2I, as listed in the Alexandria database.

Unit cell a=9.759 b=9.759 c=9.759 alpha=25.91 beta=25.91 gamma=25.91
Fractional coordinates of all 5 atoms:
Ac 0.078 0.078 0.078
Ac 0.922 0.922 0.922
Ga 0.328 0.328 0.328
Ga 0.672 0.672 0.672
I 0.500 0.500 0.500

Calculated values
Energy above the most stable polymorph in this dataset (meV/atom): 0
Uncorrected energy (eV per atom): -4.011
Raw formation energy (kJ/mol of atoms): -81.7
Magnetization (μB/cell): 0.00

=====

First-principles (PBE) data for an optimized crystal structure of Mg4Si3, as listed in the Alexandria database.

Unit cell a=7.556 b=7.726 c=10.490 alpha=86.88 beta=78.20 gamma=66.87
Fractional coordinates of all 28 atoms:
Mg 0.000 0.000 0.000
Mg 0.001 0.705 0.520
Mg 0.124 0.304 0.724
Mg 0.200 0.284 0.113
Mg 0.267 0.796 0.695
Mg 0.308 0.672 0.102
Mg 0.343 0.090 0.459
Mg 0.414 0.396 0.857
Mg 0.455 0.409 0.520
Mg 0.613 0.205 0.221
Mg 0.614 0.003 0.680
Mg 0.640 0.950 0.993
Mg 0.726 0.476 0.668
Mg 0.765 0.450 0.005
Mg 0.868 0.757 0.241
Mg 0.913 0.363 0.382
Si 0.031 0.622 0.973
Si 0.070 0.019 0.241
Si 0.244 0.469 0.321
Si 0.316 0.060 0.888
Si 0.429 0.908 0.235
Si 0.518 0.730 0.866
Si 0.549 0.573 0.281
Si 0.606 0.703 0.469
Si 0.798 0.167 0.815
Si 0.800 0.060 0.433
Si 0.879 0.674 0.782
Si 0.989 0.087 0.592

Calculated values
Energy above the most stable polymorph in this dataset (meV/atom): 78
Uncorrected energy (eV per atom): -3.189
Raw formation energy (kJ/mol of atoms): 4.5
Magnetization (μB/cell): 0.00

=====

First-principles (PBE) data for an optimized crystal structure of CsThBiO4, as listed in the Alexandria database.

Unit cell a=7.494 b=7.494 c=7.494 alpha=119.59 beta=119.52 gamma=90.77
Fractional coordinates of all 14 atoms:
Cs 0.374 0.124 0.250
Cs 0.626 0.876 0.750
Th 0.000 0.500 0.500
Th 0.500 0.500 0.000
Bi 0.000 0.000 0.500
Bi 0.000 0.500 0.000
O 0.172 0.718 0.453
O 0.232 0.293 0.562
O 0.232 0.670 0.938
O 0.235 0.282 0.953
O 0.765 0.718 0.047
O 0.768 0.330 0.062
O 0.768 0.707 0.438
O 0.828 0.282 0.547

Calculated values
Uncorrected energy (eV per atom): -6.822
Raw formation energy (kJ/mol of atoms): -217.3
Magnetization (μB/cell): 0.00

=====

Repeat the eighth record exactly.
First-principles (PBE) data for an optimized crystal structure of Tm8P3Pb3N, as listed in the Alexandria database.

Unit cell a=7.618 b=7.618 c=8.848 alpha=115.47 beta=115.47 gamma=60.06
Fractional coordinates of all 15 atoms:
Tm 0.212 0.212 0.682
Tm 0.212 0.759 0.682
Tm 0.241 0.788 0.318
Tm 0.268 0.268 0.303
Tm 0.732 0.732 0.697
Tm 0.759 0.212 0.682
Tm 0.788 0.241 0.318
Tm 0.788 0.788 0.318
P 0.000 0.500 0.500
P 0.500 0.000 0.500
P 0.500 0.500 0.500
Pb 0.000 0.000 0.000
Pb 0.000 0.500 0.000
Pb 0.500 0.000 0.000
N 0.000 0.000 0.500

Calculated values
Uncorrected energy (eV per atom): -5.748
Raw formation energy (kJ/mol of atoms): -95.0
Magnetization (μB/cell): 0.00

=====

- Look up the uncorrected energy of the first one.
  -5.563 eV per atom